Entry 1:
First-principles (meta-GGA SCAN) data for a PBEsol-optimized structure of CoRhCl2, as listed in the Alexandria database.

Its formation energy from raw total energies is 489.7 meV/atom. As for the crystal system: tetragonal. The calculation puts the total moment at 3.18 μB per cell.

The structure belongs to space group P4/mmm (No. 123); the cell edges are 4.281, 4.281 and 3.057 Å and the angles 90.00°, 90.00° and 90.00°. Symmetry generates all atoms from Co at (0.000, 0.000, 0.000), Rh at (0.500, 0.500, 0.000) and Cl at (0.000, 0.500, 0.500).


Entry 2:
First-principles (meta-GGA SCAN) data for a PBEsol-optimized structure of CoRhCl2, as listed in the Alexandria database.

Its formation energy from raw total energies is 453.2 meV/atom. As for the crystal system: cubic. The calculation puts the total moment at 16.03 μB per cell.

The structure belongs to space group Fm-3m (No. 225); the cell edges are 6.089, 6.089 and 6.089 Å and the angles 90.00°, 90.00° and 90.00°. Symmetry generates all atoms from Co at (0.000, 0.000, 0.000), Rh at (0.000, 0.000, 0.500) and Cl at (0.250, 0.250, 0.250).


Entry 3:
First-principles (meta-GGA SCAN) data for a PBEsol-optimized structure of CoRhCl2, as listed in the Alexandria database.

Its formation energy from raw total energies is -103.8 meV/atom. As for the crystal system: trigonal. The calculation puts the total moment at 6.21 μB per cell.

The structure belongs to space group R-3m (No. 166, hexagonal axes); the cell edges are 3.1172, 3.1172 and 22.2920 Å and the angles 90.00°, 90.00° and 120.00°. Symmetry generates all atoms from Co at (0.0000, 0.0000, 0.0000), Rh at (0.0000, 0.0000, 0.5000) and Cl at (0.0000, 0.0000, 0.3990).


Entry 4:
First-principles (meta-GGA SCAN) data for a PBEsol-optimized structure of CoRhCl2, as listed in the Alexandria database.

Its formation energy from raw total energies is 28.3 meV/atom. As for the crystal system: orthorhombic. The calculation puts the total moment at 5.66 μB per cell.

The structure belongs to space group Cmm2 (No. 35); the cell edges are 3.674, 5.004 and 7.369 Å and the angles 90.00°, 90.00° and 90.00°. Symmetry generates all atoms from Co at (0.000, 0.000, 0.000), Rh at (0.000, 0.500, 0.810), Cl at (0.000, 0.000, 0.590) and Cl at (0.000, 0.500, 0.188).


Entry 5:
First-principles (meta-GGA SCAN) data for a PBEsol-optimized structure of CoRuS2Cl, as listed in the Alexandria database.

Its formation energy from raw total energies is 495.9 meV/atom. As for the crystal system: tetragonal. The calculation puts the total moment at 2.79 μB per cell.

The structure belongs to space group P4/mmm (No. 123); the cell edges are 4.465, 4.465 and 4.820 Å and the angles 90.00°, 90.00° and 90.00°. Symmetry generates all atoms from Co at (0.000, 0.000, 0.000), Ru at (0.500, 0.500, 0.500), S at (0.000, 0.500, 0.500) and Cl at (0.500, 0.500, 0.000).


Entry 6:
First-principles (meta-GGA SCAN) data for a PBEsol-optimized structure of CoRuS2Cl, as listed in the Alexandria database.

Its formation energy from raw total energies is 657.5 meV/atom. As for the crystal system: tetragonal. The calculation puts the total moment at 4.44 μB per cell.

The structure belongs to space group P4/mmm (No. 123); the cell edges are 4.325, 4.325 and 4.363 Å and the angles 90.00°, 90.00° and 90.00°. Symmetry generates all atoms from Co at (0.000, 0.000, 0.000), Ru at (0.500, 0.500, 0.500), S at (0.000, 0.500, 0.000) and Cl at (0.000, 0.000, 0.500).


Entry 7:
First-principles (meta-GGA SCAN) data for a PBEsol-optimized structure of Co3SCl, as listed in the Alexandria database.

Its formation energy from raw total energies is 279.0 meV/atom. As for the crystal system: cubic. The calculation puts the total moment at 6.00 μB per cell.

The structure belongs to space group Pm-3m (No. 221); the cell edges are 4.232, 4.232 and 4.232 Å and the angles 90.00°, 90.00° and 90.00°. Symmetry generates all atoms from Co at (0.000, 0.000, 0.500), S at (0.000, 0.000, 0.000) and Cl at (0.500, 0.500, 0.500).


Entry 8:
First-principles (meta-GGA SCAN) data for a PBEsol-optimized structure of ScCoSCl2, as listed in the Alexandria database.

Its formation energy from raw total energies is 324.7 meV/atom. As for the crystal system: tetragonal. The calculation puts the total moment at 2.21 μB per cell.

The structure belongs to space group P4/mmm (No. 123); the cell edges are 4.992, 4.992 and 4.791 Å and the angles 90.00°, 90.00° and 90.00°. Symmetry generates all atoms from Sc at (0.000, 0.000, 0.000), Co at (0.500, 0.500, 0.000), S at (0.000, 0.000, 0.500) and Cl at (0.000, 0.500, 0.500).


Repeat the second record exactly.
First-principles (meta-GGA SCAN) data for a PBEsol-optimized structure of CoRhCl2, as listed in the Alexandria database.

Its formation energy from raw total energies is 453.2 meV/atom. As for the crystal system: cubic. The calculation puts the total moment at 16.03 μB per cell.

The structure belongs to space group Fm-3m (No. 225); the cell edges are 6.089, 6.089 and 6.089 Å and the angles 90.00°, 90.00° and 90.00°. Symmetry generates all atoms from Co at (0.000, 0.000, 0.000), Rh at (0.000, 0.000, 0.500) and Cl at (0.250, 0.250, 0.250).


- Which formula does entry 1 have?
  CoRhCl2


- Among the records above, which one has the lowest formation energy from raw total energies?
  number 3